1.
Zn3Ag (SCAN, PBEsol geometry); calculated formation energy = 6 meV/atom; symmetry = Pmmm; total moment = 0.000 μB/cell
1.0
2.891 0.000 0.000
0.000 3.764 0.000
0.000 0.000 5.384
Zn Ag
3 1
Cartesian
0.000 0.000 0.000 Zn
1.445 1.882 1.313 Zn
1.445 1.882 4.071 Zn
0.000 0.000 2.692 Ag

2.
NaIrO2F (SCAN, PBEsol geometry); symmetry = P4/mmm; total moment = 5.002 μB/cell; raw formation energy = 585 meV per atom
1.0
3.996 0.000 0.000
0.000 3.996 0.000
0.000 0.000 3.795
Na Ir O F
1 1 2 1
Cartesian
0.000 0.000 0.000 Na
1.998 1.998 1.898 Ir
0.000 1.998 0.000 O
1.998 0.000 0.000 O
0.000 0.000 1.898 F

3.
FePdBr2 (SCAN, PBEsol geometry); symmetry = R-3m; total moment = 4.018 μB/cell; raw formation energy = 288 meV per atom
1.0
1.801 1.040 7.887
-1.801 1.040 7.887
0.000 -2.080 7.887
Fe Pd Br
1 1 2
Cartesian
0.000 0.000 0.000 Fe
0.000 0.000 11.830 Pd
0.000 0.000 2.266 Br
0.000 0.000 21.394 Br

4.
MgB4O7 (SCAN, PBEsol geometry); symmetry = Pbca; total moment = 0.000 μB/cell; raw formation energy = -2735 meV per atom
1.0
8.006 0.000 0.000
0.000 8.626 0.000
0.000 0.000 13.806
Mg B O
8 32 56
Cartesian
0.949 0.866 1.543 Mg
0.949 3.447 8.446 Mg
3.054 5.179 1.543 Mg
3.054 7.760 8.446 Mg
4.951 0.866 5.360 Mg
4.951 3.447 12.264 Mg
7.057 5.179 5.360 Mg
7.057 7.760 12.264 Mg
0.144 4.943 2.285 B
0.144 7.995 9.188 B
0.325 1.431 10.556 B
0.325 2.881 3.653 B
0.532 6.074 7.830 B
0.532 6.865 0.926 B
1.429 1.140 6.431 B
1.429 3.173 13.334 B
2.574 5.453 6.431 B
2.574 7.486 13.334 B
3.471 1.761 7.830 B
3.471 2.552 0.926 B
3.678 5.744 10.556 B
3.678 7.194 3.653 B
3.859 0.630 2.285 B
3.859 3.682 9.188 B
4.147 4.943 4.619 B
4.147 7.995 11.522 B
4.328 1.431 10.154 B
4.328 2.881 3.251 B
4.535 6.074 12.880 B
4.535 6.865 5.977 B
5.432 1.140 0.472 B
5.432 3.173 7.375 B
6.577 5.453 0.472 B
6.577 7.486 7.375 B
7.474 1.761 12.880 B
7.474 2.552 5.977 B
7.681 5.744 10.154 B
7.681 7.194 3.251 B
7.862 0.630 4.619 B
7.862 3.682 11.522 B
0.049 5.209 8.939 O
0.049 7.730 2.036 O
0.268 1.515 3.419 O
0.268 2.798 10.323 O
0.628 2.115 13.762 O
0.628 2.198 6.859 O
0.755 0.613 9.567 O
0.755 3.700 2.664 O
1.076 0.383 5.374 O
1.076 3.930 12.277 O
1.132 5.684 1.488 O
1.132 7.254 8.391 O
1.377 5.177 7.065 O
1.377 7.761 0.162 O
2.626 0.865 7.065 O
2.626 3.448 0.162 O
2.871 1.371 1.488 O
2.871 2.941 8.391 O
2.927 4.696 5.374 O
2.927 8.242 12.277 O
3.247 4.926 9.567 O
3.247 8.013 2.664 O
3.374 6.428 13.762 O
3.374 6.511 6.859 O
3.735 5.828 3.419 O
3.735 7.110 10.323 O
3.954 0.896 8.939 O
3.954 3.417 2.036 O
4.052 5.209 11.770 O
4.052 7.730 4.867 O
4.271 1.515 3.484 O
4.271 2.798 10.387 O
4.631 2.115 6.947 O
4.631 2.198 0.044 O
4.758 0.613 11.142 O
4.758 3.700 4.239 O
5.079 0.383 1.529 O
5.079 3.930 8.432 O
5.135 5.684 5.416 O
5.135 7.254 12.319 O
5.379 5.177 13.644 O
5.379 7.761 6.741 O
6.629 0.865 13.644 O
6.629 3.448 6.741 O
6.874 1.371 5.416 O
6.874 2.941 12.319 O
6.930 4.696 1.529 O
6.930 8.242 8.432 O
7.250 4.926 11.142 O
7.250 8.013 4.239 O
7.377 6.428 6.947 O
7.377 6.511 0.044 O
7.738 5.828 3.484 O
7.738 7.110 10.387 O
7.957 0.896 11.770 O
7.957 3.417 4.867 O

5.
CsLi2I3 (SCAN, PBEsol geometry); symmetry = P-4m2; total moment = 0.000 μB/cell; raw formation energy = -1459 meV per atom
1.0
4.502 0.000 0.000
0.000 4.502 0.000
0.000 0.000 10.757
Cs Li I
1 2 3
Cartesian
0.000 0.000 0.000 Cs
0.000 2.251 6.936 Li
2.251 0.000 3.821 Li
0.000 0.000 5.378 I
2.251 2.251 2.197 I
2.251 2.251 8.560 I

6.
BaTl2In (SCAN, PBEsol geometry); calculated formation energy = -319 meV/atom; symmetry = P4mm; total moment = 0.000 μB/cell
1.0
3.992 0.000 0.000
0.000 3.992 0.000
0.000 0.000 7.764
Ba Tl In
1 2 1
Cartesian
0.000 0.000 0.000 Ba
0.000 0.000 3.835 Tl
1.996 1.996 5.488 Tl
1.996 1.996 2.302 In

7.
Ti2MnAl (SCAN, PBEsol geometry); calculated formation energy = -412 meV/atom; symmetry = F-43m; total moment = 0.001 μB/cell
1.0
0.000 3.068 3.068
3.068 0.000 3.068
3.068 3.068 0.000
Ti Mn Al
2 1 1
Cartesian
0.000 0.000 0.000 Ti
1.534 1.534 1.534 Ti
4.602 4.602 4.602 Mn
3.068 3.068 3.068 Al

8.
OsRh2Br (SCAN, PBEsol geometry); symmetry = F-43m; total moment = 1.051 μB/cell; raw formation energy = 1085 meV per atom
1.0
0.000 3.091 3.091
3.091 0.000 3.091
3.091 3.091 0.000
Os Rh Br
1 2 1
Cartesian
0.000 0.000 0.000 Os
3.091 3.091 3.091 Rh
4.636 4.636 4.636 Rh
1.545 1.545 1.545 Br

9.
Ca2Mn2Au (SCAN, PBEsol geometry); calculated formation energy = 189 meV/atom; symmetry = I4/mmm; total moment = 7.749 μB/cell
1.0
-2.831 2.831 3.640
2.831 -2.831 3.640
2.831 2.831 -3.640
Ca Mn Au
2 2 1
Cartesian
2.831 0.000 1.820 Ca
0.000 2.831 1.820 Ca
0.000 0.000 1.111 Mn
0.000 0.000 6.170 Mn
0.000 0.000 3.640 Au

10.
Cu2SiMo (SCAN, PBEsol geometry); symmetry = Pmmm; total moment = 0.000 μB/cell; raw formation energy = 192 meV per atom
1.0
2.636 0.000 0.000
0.000 3.753 0.000
0.000 0.000 5.178
Cu Si Mo
2 1 1
Cartesian
0.000 0.000 1.250 Cu
0.000 0.000 3.927 Cu
1.318 1.877 0.000 Si
1.318 1.877 2.589 Mo

11.
Ga2As2Pb (SCAN, PBEsol geometry); calculated formation energy = 74 meV/atom; symmetry = I4/mmm; total moment = 0.000 μB/cell
1.0
-2.050 2.050 6.566
2.050 -2.050 6.566
2.050 2.050 -6.566
Ga As Pb
2 2 1
Cartesian
2.050 0.000 3.283 Ga
0.000 2.050 3.283 Ga
0.000 0.000 1.616 As
0.000 0.000 11.516 As
0.000 0.000 6.566 Pb

12.
TcGe2Ir (SCAN, PBEsol geometry); calculated formation energy = -193 meV/atom; symmetry = Fm-3m; total moment = 0.000 μB/cell
1.0
0.000 3.030 3.030
3.030 0.000 3.030
3.030 3.030 0.000
Tc Ge Ir
1 2 1
Cartesian
0.000 0.000 0.000 Tc
1.515 1.515 1.515 Ge
4.545 4.545 4.545 Ge
3.030 3.030 3.030 Ir

13.
Li4Al3Cr3Sb2O16 (SCAN, PBEsol geometry); symmetry = Cm; total moment = 2.999 μB/cell; raw formation energy = -2539 meV per atom
1.0
5.004 -2.883 0.000
5.004 2.883 0.000
-0.071 0.000 9.462
Li Al Cr Sb O
4 3 3 2 16
Cartesian
0.000 0.000 0.000 Li
-0.028 0.000 4.706 Li
3.294 0.000 5.500 Li
6.668 0.000 0.788 Li
4.142 1.413 2.586 Al
4.142 -1.413 2.586 Al
8.252 0.000 7.322 Al
1.692 0.000 2.587 Cr
5.800 1.416 7.317 Cr
5.800 -1.416 7.317 Cr
3.352 0.000 0.007 Sb
6.650 0.000 4.719 Sb
2.596 1.299 1.405 O
4.094 1.485 8.409 O
1.554 0.000 8.449 O
5.765 1.460 3.673 O
3.390 0.000 3.549 O
4.833 0.000 1.400 O
2.596 -1.299 1.405 O
5.131 0.000 6.120 O
7.385 1.295 6.123 O
4.094 -1.485 8.409 O
6.686 0.000 8.302 O
5.765 -1.460 3.673 O
8.337 0.000 3.654 O
7.385 -1.295 6.123 O
9.874 0.000 6.464 O
9.923 0.000 1.773 O

14.
MnOs2Au (SCAN, PBEsol geometry); calculated formation energy = 323 meV/atom; symmetry = Pmmm; total moment = 2.479 μB/cell
1.0
2.681 0.000 0.000
0.000 3.725 0.000
0.000 0.000 5.612
Mn Os Au
1 2 1
Cartesian
0.000 0.000 0.000 Mn
1.340 1.863 1.226 Os
1.340 1.863 4.386 Os
0.000 0.000 2.806 Au

15.
CrTcIr2 (SCAN, PBEsol geometry); calculated formation energy = -291 meV/atom; symmetry = Pmmm; total moment = 1.576 μB/cell
1.0
2.671 0.000 0.000
0.000 3.762 0.000
0.000 0.000 5.326
Cr Tc Ir
1 1 2
Cartesian
0.000 0.000 0.000 Cr
0.000 0.000 2.663 Tc
1.336 1.881 1.307 Ir
1.336 1.881 4.019 Ir

16.
Te3Pb (SCAN, PBEsol geometry); symmetry = Im-3m; total moment = 0.000 μB/cell; raw formation energy = -153 meV per atom
1.0
-3.185 3.185 3.185
3.185 -3.185 3.185
3.185 3.185 -3.185
Te Pb
3 1
Cartesian
3.185 0.000 0.000 Te
0.000 3.185 0.000 Te
0.000 0.000 3.185 Te
0.000 0.000 0.000 Pb

17.
BaGa2 (SCAN, PBEsol geometry); calculated formation energy = -559 meV/atom; symmetry = P6/mmm; total moment = 0.003 μB/cell
1.0
4.374 0.000 0.000
-2.187 3.788 0.000
0.000 0.000 5.043
Ba Ga
1 2
Cartesian
0.000 0.000 0.000 Ba
0.000 2.525 2.521 Ga
2.187 1.263 2.521 Ga

18.
Sc2Mo3O12 (SCAN, PBEsol geometry); symmetry = Pbcn; total moment = 0.000 μB/cell; raw formation energy = -2683 meV per atom
1.0
13.366 0.000 0.000
0.000 9.577 0.000
0.000 0.000 9.681
Sc Mo O
8 12 48
Cartesian
1.582 2.389 0.325 Sc
1.582 7.188 5.165 Sc
5.101 2.399 5.165 Sc
5.101 7.178 0.325 Sc
8.265 2.399 9.355 Sc
8.265 7.178 4.515 Sc
11.783 2.389 4.515 Sc
11.783 7.188 9.355 Sc
0.000 0.248 7.260 Mo
0.000 9.329 2.420 Mo
1.925 3.768 3.713 Mo
1.925 5.809 8.553 Mo
4.758 1.021 8.553 Mo
4.758 8.557 3.713 Mo
6.683 4.540 2.420 Mo
6.683 5.037 7.260 Mo
8.608 1.021 5.968 Mo
8.608 8.557 1.127 Mo
11.441 3.768 1.127 Mo
11.441 5.809 5.968 Mo
0.382 3.063 4.162 O
0.382 6.515 9.002 O
0.837 1.262 8.427 O
0.837 8.315 3.586 O
1.173 0.773 1.597 O
1.173 8.804 6.438 O
1.873 4.070 8.821 O
1.873 5.507 3.981 O
2.220 3.453 2.006 O
2.220 6.124 6.846 O
3.202 3.057 4.697 O
3.202 6.520 9.537 O
3.481 1.731 9.537 O
3.481 7.846 4.697 O
4.463 1.335 6.846 O
4.463 8.242 2.006 O
4.810 0.718 3.981 O
4.810 8.859 8.821 O
5.509 4.016 6.438 O
5.509 5.562 1.597 O
5.846 3.526 3.586 O
5.846 6.051 8.427 O
6.300 1.726 9.002 O
6.300 7.852 4.162 O
7.065 1.726 5.518 O
7.065 7.852 0.678 O
7.520 3.526 1.254 O
7.520 6.051 6.094 O
7.856 4.016 8.083 O
7.856 5.562 3.243 O
8.555 0.718 0.860 O
8.555 8.859 5.700 O
8.903 1.335 7.675 O
8.903 8.242 2.834 O
9.884 1.731 4.984 O
9.884 7.846 0.143 O
10.164 3.057 0.143 O
10.164 6.520 4.984 O
11.145 3.453 2.834 O
11.145 6.124 7.675 O
11.493 4.070 5.700 O
11.493 5.507 0.860 O
12.192 0.773 3.243 O
12.192 8.804 8.083 O
12.528 1.262 6.094 O
12.528 8.315 1.254 O
12.983 3.063 0.678 O
12.983 6.515 5.518 O

19.
LiCo2Cu (SCAN, PBEsol geometry); calculated formation energy = 132 meV/atom; symmetry = C2/m; total moment = 3.381 μB/cell
1.0
2.381 -4.179 0.000
2.381 4.179 0.000
-0.984 0.000 2.163
Li Co Cu
1 2 1
Cartesian
0.000 0.000 0.000 Li
0.699 2.089 1.082 Co
0.699 -2.089 1.082 Co
2.381 0.000 0.000 Cu